Record 1
A plane-wave DFT calculation with PBE-GGA was carried out for crystalline CuTcIr2 at its relaxed geometry.

It has space group I-4m2 (No. 119), with a = 3.761 Å, b = 3.761 Å, c = 7.912 Å, α = 90.00°, β = 90.00° and γ = 90.00°. The distinct sites, in fractional coordinates, are Cu at (0.000, 0.000, 0.000), Tc at (0.000, 0.500, 0.250), Ir at (0.000, 0.000, 0.500) and Ir at (0.000, 0.500, 0.750).

As for the formation energy: 0.0800 eV per atom. The calculation puts the distance to the lowest polymorph of the same formula at 0.157 eV per atom. As for the density of states at the Fermi level: 0.9720 states/eV/atom.

***

Record 2
A plane-wave DFT calculation with PBE-GGA was carried out for crystalline CuTcIr2 at its relaxed geometry.

It has space group Cmmm (No. 65), with a = 5.457 Å, b = 7.581 Å, c = 2.722 Å, α = 90.00°, β = 90.00° and γ = 90.00°. The distinct sites, in fractional coordinates, are Cu at (0.000, 0.000, 0.000), Tc at (0.000, 0.500, 0.000) and Ir at (0.250, 0.250, 0.500).

As for the formation energy: 0.1040 eV per atom. The calculation puts the distance to the lowest polymorph of the same formula at 0.181 eV per atom. As for the density of states at the Fermi level: 1.4578 states/eV/atom.

***

Record 3
A plane-wave DFT calculation with PBE-GGA was carried out for crystalline CuTcIr2 at its relaxed geometry.

It has space group Cm (No. 8), with a = 9.001 Å, b = 2.722 Å, c = 4.667 Å, α = 90.00°, β = 99.89° and γ = 90.00°. The distinct sites, in fractional coordinates, are Cu at (0.000, 0.000, 0.000), Tc at (0.241, 0.000, 0.729), Ir at (0.252, 0.500, 0.224) and Ir at (0.494, 0.000, 0.509).

As for the formation energy: 0.0492 eV per atom. The calculation puts the distance to the lowest polymorph of the same formula at 0.126 eV per atom. As for the density of states at the Fermi level: 1.2289 states/eV/atom.

***

Record 4
A plane-wave DFT calculation with PBE-GGA was carried out for crystalline CuTcIr2 at its relaxed geometry.

It has space group P4mm (No. 99), with a = 2.725 Å, b = 2.725 Å, c = 7.527 Å, α = 90.00°, β = 90.00° and γ = 90.00°. The distinct sites, in fractional coordinates, are Cu at (0.000, 0.000, 0.000), Tc at (0.500, 0.500, 0.751), Ir at (0.000, 0.000, 0.501) and Ir at (0.500, 0.500, 0.241).

As for the formation energy: 0.0792 eV per atom. The calculation puts the distance to the lowest polymorph of the same formula at 0.156 eV per atom. As for the density of states at the Fermi level: 0.9912 states/eV/atom.